(1)
DFT (GGA-PBE) results for a geometry-optimized Ca2TbPm3Te6 structure.

Unit cell a=7.658 b=13.276 c=7.826 alpha=90.00 beta=109.12 gamma=90.00
Space group C2/m (No. 12)
Asymmetric unit:
Ca (0.000, 0.166, 0.000) (multiplicity 4)
Tb (0.000, 0.500, 0.000) (multiplicity 2)
Pm (0.000, 0.000, 0.500) (multiplicity 2)
Pm (0.000, 0.328, 0.500) (multiplicity 4)
Te (0.246, 0.335, 0.242) (multiplicity 8)
Te (0.248, 0.500, 0.751) (multiplicity 4)

Results
Raw formation energy (meV/atom): -1457
E (eV per atom): -4.93

(2)
DFT (GGA-PBE) results for a geometry-optimized CaTb2PmTe4 structure.

Unit cell a=7.658 b=4.395 c=7.698 alpha=90.00 beta=109.03 gamma=90.00
Space group P2/m (No. 10)
Asymmetric unit:
Ca (0.000, 0.000, 0.000) (multiplicity 1)
Tb (0.500, 0.000, 0.500) (multiplicity 1)
Tb (0.500, 0.500, 0.000) (multiplicity 1)
Pm (0.000, 0.500, 0.500) (multiplicity 1)
Te (0.254, 0.500, 0.249) (multiplicity 2)
Te (0.256, 0.000, 0.755) (multiplicity 2)

Results
Raw formation energy (meV/atom): -1409
E (eV per atom): -4.98

(3)
DFT (GGA-PBE) results for a geometry-optimized CaTbPmTh structure.

Unit cell a=8.185 b=8.185 c=8.185 alpha=90.00 beta=90.00 gamma=90.00
Space group F-43m (No. 216)
Asymmetric unit:
Ca (0.000, 0.000, 0.000) (multiplicity 4)
Tb (0.250, 0.250, 0.250) (multiplicity 4)
Pm (0.250, 0.250, 0.750) (multiplicity 4)
Th (0.000, 0.000, 0.500) (multiplicity 4)

Results
E (eV per atom): -4.47

(4)
DFT (GGA-PBE) results for a geometry-optimized CaTb2PmTl4 structure.

Unit cell a=5.4239 b=5.4239 c=26.7852 alpha=90.00 beta=90.00 gamma=120.00
Space group R-3m (No. 166, hexagonal axes)
Asymmetric unit:
Ca (0.0000, 0.0000, 0.0000) (multiplicity 3)
Tb (0.0000, 0.0000, 0.2526) (multiplicity 6)
Pm (0.0000, 0.0000, 0.5000) (multiplicity 3)
Tl (0.0000, 0.0000, 0.1253) (multiplicity 6)
Tl (0.0000, 0.0000, 0.3753) (multiplicity 6)

Results
E (eV per atom): -3.56

(5)
DFT (GGA-PBE) results for a geometry-optimized CaTbPmTl structure.

Unit cell a=7.924 b=7.924 c=7.924 alpha=90.00 beta=90.00 gamma=90.00
Space group F-43m (No. 216)
Asymmetric unit:
Ca (0.000, 0.000, 0.000) (multiplicity 4)
Tb (0.000, 0.000, 0.500) (multiplicity 4)
Pm (0.250, 0.250, 0.750) (multiplicity 4)
Tl (0.250, 0.250, 0.250) (multiplicity 4)

Results
E (eV per atom): -3.41

(6)
DFT (GGA-PBE) results for a geometry-optimized CaTb3Pm6Tm2 structure.

Unit cell a=6.281 b=10.875 c=11.872 alpha=90.00 beta=100.09 gamma=90.00
Space group C2/m (No. 12)
Asymmetric unit:
Ca (0.000, 0.000, 0.000) (multiplicity 2)
Tb (0.000, 0.167, 0.500) (multiplicity 4)
Tb (0.000, 0.500, 0.500) (multiplicity 2)
Pm (0.243, 0.500, 0.252) (multiplicity 4)
Pm (0.245, 0.330, 0.749) (multiplicity 8)
Tm (0.000, 0.333, 0.000) (multiplicity 4)

Results
E (eV per atom): -4.41

Look up the E of the sixth one.
-4.41 eV per atom

Which value of E does entry 2 give?
-4.98 eV per atom